[1]
## PmTlCdAg (PBE)

Data for a relaxed PmTlCdAg crystal.

Geometry as POSCAR:
```
PmTlCdAg
1.0
0.0000 3.6449 3.6449
3.6449 0.0000 3.6449
3.6449 3.6449 0.0000
Pm Tl Cd Ag
1 1 1 1
direct
0.0000 0.0000 0.0000
0.7500 0.7500 0.7500
0.5000 0.5000 0.5000
0.2500 0.2500 0.2500
```

SG = F-43m, No. 216
total magnetic moment = 0.000 μB/f.u.
ΔE_f = -0.255 eV per atom
volume = 24.212 Å³/atom
total DFT energy (no corrections) = -2.98 eV/atom



[2]
## Pm4TlCd2Ag (PBE)

Data for a relaxed Pm4TlCd2Ag crystal.

Geometry as POSCAR:
```
Pm4TlCd2Ag
1.0
2.6958 1.5564 8.8454
-2.6958 1.5564 8.8454
0.0000 -3.1129 8.8454
Pm Tl Cd Ag
4 1 2 1
direct
0.1222 0.1222 0.1222
0.3726 0.3726 0.3726
0.6274 0.6274 0.6274
0.8778 0.8778 0.8778
0.5000 0.5000 0.5000
0.2490 0.2490 0.2490
0.7510 0.7510 0.7510
0.0000 0.0000 0.0000
```

SG = R-3m, No. 166
total magnetic moment = 1.425 μB/f.u.
ΔE_f = -0.313 eV per atom
volume = 27.836 Å³/atom
total DFT energy (no corrections) = -3.57 eV/atom



[3]
## PmTmCdAg (PBE)

Data for a relaxed PmTmCdAg crystal.

Geometry as POSCAR:
```
PmTmCdAg
1.0
0.0000 3.7143 3.7143
3.7143 0.0000 3.7143
3.7143 3.7143 0.0000
Pm Tm Cd Ag
1 1 1 1
direct
0.0000 0.0000 0.0000
0.5000 0.5000 0.5000
0.2500 0.2500 0.2500
0.7500 0.7500 0.7500
```

SG = F-43m, No. 216
total magnetic moment = 0.000 μB/f.u.
ΔE_f = -0.291 eV per atom
volume = 25.621 Å³/atom
relative energy among the computed polymorphs = 0.049 eV per formula unit
total DFT energy (no corrections) = -3.54 eV/atom



[4]
## PmTmCdAg (PBE)

Data for a relaxed PmTmCdAg crystal.

Geometry as POSCAR:
```
PmTmCdAg
1.0
3.6872 0.0000 0.0000
0.0000 3.6872 0.0000
0.0000 0.0000 7.5124
Pm Tm Cd Ag
1 1 1 1
direct
0.0000 0.0000 0.0000
0.0000 0.0000 0.4836
0.5000 0.5000 0.7284
0.5000 0.5000 0.2665
```

SG = P4mm, No. 99
total magnetic moment = 0.178 μB/f.u.
ΔE_f = -0.304 eV per atom
volume = 25.534 Å³/atom
relative energy among the computed polymorphs = 0.000 eV per formula unit
total DFT energy (no corrections) = -3.55 eV/atom



[5]
## PmYCdAg (PBE)

Data for a relaxed PmYCdAg crystal.

Geometry as POSCAR:
```
PmYCdAg
1.0
0.0000 3.7414 3.7414
3.7414 0.0000 3.7414
3.7414 3.7414 0.0000
Pm Y Cd Ag
1 1 1 1
direct
0.0000 0.0000 0.0000
0.5000 0.5000 0.5000
0.7500 0.7500 0.7500
0.2500 0.2500 0.2500
```

SG = F-43m, No. 216
total magnetic moment = 0.000 μB/f.u.
ΔE_f = -0.303 eV per atom
volume = 26.186 Å³/atom
relative energy among the computed polymorphs = 0.034 eV per formula unit
total DFT energy (no corrections) = -4.05 eV/atom



[6]
## PmYCdAg (PBE)

Data for a relaxed PmYCdAg crystal.

Geometry as POSCAR:
```
PmYCdAg
1.0
3.7242 0.0000 0.0000
0.0000 3.7242 0.0000
0.0000 0.0000 7.5376
Pm Y Cd Ag
1 1 1 1
direct
0.0000 0.0000 0.0000
0.0000 0.0000 0.4847
0.5000 0.5000 0.7343
0.5000 0.5000 0.2560
```

SG = P4mm, No. 99
total magnetic moment = 0.121 μB/f.u.
ΔE_f = -0.311 eV per atom
volume = 26.136 Å³/atom
relative energy among the computed polymorphs = 0.000 eV per formula unit
total DFT energy (no corrections) = -4.06 eV/atom



[7]
## Pm2Zn4CdAg3 (PBE)

Data for a relaxed Pm2Zn4CdAg3 crystal.

Geometry as POSCAR:
```
Pm2Zn4CdAg3
1.0
4.1892 0.0000 0.0000
0.0000 4.1892 0.0000
0.0000 0.0000 11.9356
Pm Zn Cd Ag
2 4 1 3
direct
0.0000 0.5000 0.2472
0.5000 0.0000 0.7528
0.0000 0.0000 0.0000
0.0000 0.5000 0.6457
0.5000 0.0000 0.3543
0.5000 0.5000 0.0000
0.0000 0.0000 0.5000
0.0000 0.5000 0.8615
0.5000 0.0000 0.1385
0.5000 0.5000 0.5000
```

SG = P-4m2, No. 115
total magnetic moment = 0.000 μB/f.u.
ΔE_f = -0.229 eV per atom
volume = 20.946 Å³/atom
total DFT energy (no corrections) = -2.64 eV/atom



[8]
## Pm2Zn2CdAg5 (PBE)

Data for a relaxed Pm2Zn2CdAg5 crystal.

Geometry as POSCAR:
```
Pm2Zn2CdAg5
1.0
10.0090 0.0000 0.0000
0.0000 10.0090 0.0000
0.0000 0.0000 4.2063
Pm Zn Cd Ag
4 4 2 10
direct
0.1800 0.3200 0.0000
0.3200 0.8200 0.0000
0.6800 0.1800 0.0000
0.8200 0.6800 0.0000
0.1147 0.6147 0.0000
0.3853 0.1147 0.0000
0.6147 0.8853 0.0000
0.8853 0.3853 0.0000
0.0000 0.0000 0.0000
0.5000 0.5000 0.0000
0.0000 0.5000 0.5000
0.0566 0.7916 0.5000
0.2084 0.0566 0.5000
0.2916 0.5566 0.5000
0.4434 0.2916 0.5000
0.5000 0.0000 0.5000
0.5566 0.7084 0.5000
0.7084 0.4434 0.5000
0.7916 0.9434 0.5000
0.9434 0.2084 0.5000
```

SG = P4/mbm, No. 127
total magnetic moment = 0.000 μB/f.u.
ΔE_f = -0.168 eV per atom
volume = 21.069 Å³/atom
total DFT energy (no corrections) = -2.89 eV/atom



- total magnetic moment of number 7 (Pm2Zn4CdAg3)?
  0.000 μB/f.u.



- Which value of ΔE_f does entry 1 give?
  -0.255 eV per atom